one.
# Mg2AgHg5

Mg2AgHg5 after structural relaxation (PBE-GGA, the Alexandria database).

density of states at the Fermi level: 3.479 states/eV/cell
symmetry: Cmcm, No. 63
spin magnetization: 0.00 μB/f.u.

Lattice parameters (Å, degrees): 5.1969 6.7969 11.7302 90.00 90.00 112.48
Sites, in units of the cell vectors:
Mg 0.8915 0.7831 0.3789
Mg 0.8915 0.7831 0.1211
Mg 0.1085 0.2169 0.6211
Mg 0.1085 0.2169 0.8789
Ag 0.5507 0.1014 0.7500
Ag 0.4493 0.8986 0.2500
Hg 0.8776 0.7553 0.8756
Hg 0.8776 0.7553 0.6244
Hg 0.3627 0.7254 0.4827
Hg 0.3627 0.7254 0.0173
Hg 0.6964 0.3929 0.2500
Hg 0.3036 0.6071 0.7500
Hg 0.6373 0.2746 0.5173
Hg 0.6373 0.2746 0.9827
Hg 0.1224 0.2447 0.1244
Hg 0.1224 0.2447 0.3756

=====

two.
# Mg2AgHg5

Mg2AgHg5 after structural relaxation (PBE-GGA, the Alexandria database).

density of states at the Fermi level: 4.865 states/eV/cell
symmetry: Pbam, No. 55
spin magnetization: 0.00 μB/f.u.

Lattice parameters (Å, degrees): 4.4582 6.2057 12.7062 90.00 90.00 90.00
Sites, in units of the cell vectors:
Mg 0.5000 0.2668 0.3725
Mg 0.5000 0.7332 0.6275
Mg 0.5000 0.2332 0.8725
Mg 0.5000 0.7668 0.1275
Ag 0.0000 0.0000 0.5000
Ag 0.0000 0.5000 0.0000
Hg 0.5000 0.2695 0.1151
Hg 0.5000 0.7305 0.8849
Hg 0.5000 0.7695 0.3849
Hg 0.5000 0.2305 0.6151
Hg 0.0000 0.9742 0.7420
Hg 0.0000 0.0258 0.2580
Hg 0.0000 0.4742 0.7580
Hg 0.0000 0.5258 0.2420
Hg 0.0000 0.5000 0.5000
Hg 0.0000 0.0000 0.0000

=====

Quick one: least stable of them? one

=====

one.
# Mg6AgHg

Mg6AgHg after structural relaxation (PBE-GGA, the Alexandria database).

density of states at the Fermi level: 1.269 states/eV/cell
symmetry: R-3m, No. 166
spin magnetization: 0.00 μB/f.u.

Lattice parameters (Å, degrees): 4.9014 4.9014 8.4578 73.16 73.16 60.00
Sites, in units of the cell vectors:
Mg 0.6261 0.6261 0.1217
Mg 0.1232 0.1232 0.6305
Mg 0.8768 0.8768 0.3695
Mg 0.3739 0.3739 0.8783
Mg 0.2506 0.2506 0.2481
Mg 0.7494 0.7494 0.7519
Ag 0.0000 0.0000 0.0000
Hg 0.5000 0.5000 0.5000

=====

two.
# Mg6AgHg

Mg6AgHg after structural relaxation (PBE-GGA, the Alexandria database).

density of states at the Fermi level: 2.212 states/eV/cell
symmetry: P4/mmm, No. 123
spin magnetization: 0.00 μB/f.u.

Lattice parameters (Å, degrees): 4.2757 4.2757 9.1176 90.00 90.00 90.00
Sites, in units of the cell vectors:
Mg 0.5000 0.5000 0.0000
Mg 0.5000 0.5000 0.5000
Mg 0.5000 0.0000 0.2571
Mg 0.5000 0.0000 0.7429
Mg 0.0000 0.5000 0.2571
Mg 0.0000 0.5000 0.7429
Ag 0.0000 0.0000 0.5000
Hg 0.0000 0.0000 0.0000

=====

Quick one: least stable of them? one